Version A
PBE ReTeOs, relaxed; calculated volume = 17.1 Å³/atom; symmetry = P-6m2; total magnetic moment = 0.0 Bohr magnetons per cell
1.0
-2.2946 1.9631 -0.1766
1.1805 -1.1777 -2.5238
-8.4206 -9.7861 0.6279
Os Te Re
2 2 2
Cartesian
-1.3111 -1.5759 -0.4828
-7.0947 -8.2975 -0.0515
-6.7299 -5.6367 -1.1211
-3.9484 -2.4042 -1.3285
0.0295 -0.1744 -2.3225
-4.1808 -5.0674 -2.0072

---

Version B
PBE ReTeOs, relaxed; calculated volume = 18.3 Å³/atom; symmetry = Fmm2; total magnetic moment = 0.0 Bohr magnetons per cell
1.0
7.8296 -0.0402 0.0245
7.0221 2.7736 0.0186
0.8075 -1.2920 2.4997
Os Te Re
1 1 1
Cartesian
14.6609 2.6788 0.0765
10.1652 1.3902 0.8628
5.6848 0.1060 1.6465

---

Version C
PBE ReTeOs, relaxed; calculated volume = 17.1 Å³/atom; symmetry = P3m1; total magnetic moment = 0.0 Bohr magnetons per cell
1.0
-0.9398 0.1101 -2.8678
1.6398 -2.3461 0.9626
-5.4450 -3.1229 1.6645
Te Os Re
1 1 1
Cartesian
-2.8384 -3.6026 0.7919
-0.0724 -0.0415 0.0221
-1.8342 -1.7148 -1.0547

---

Which one sits at the top of the stability order? version A does.

---

Version A
PBE ReTeOs, relaxed; calculated volume = 19.5 Å³/atom; symmetry = F-43m; total magnetic moment = 0.0 Bohr magnetons per cell
1.0
4.3610 0.0000 0.0000
2.1805 3.7767 0.0000
2.1805 1.2589 3.5607
Os Te Re
1 1 1
Cartesian
4.3610 2.5178 1.7804
0.0000 0.0000 0.0000
6.5415 3.7767 2.6705

---

Version B
PBE ReTeOs, relaxed; calculated volume = 17.7 Å³/atom; symmetry = I4mm; total magnetic moment = 0.0 Bohr magnetons per cell
1.0
-0.9694 5.8635 1.9730
-3.5601 3.1985 4.0384
3.7391 -4.7949 -1.4968
Os Re Te
1 1 1
Cartesian
-4.4380 8.8790 5.8900
-1.5889 3.1788 2.1087
-3.0320 6.0660 4.0240

---

Version C
PBE ReTeOs, relaxed; calculated volume = 17.0 Å³/atom; symmetry = Imm2; total magnetic moment = 0.0 Bohr magnetons per cell
1.0
-0.5068 4.6254 -1.4242
-4.0199 2.3406 1.4289
3.9310 -2.4004 1.5701
Os Re Te
1 1 1
Cartesian
-4.4677 6.8752 0.0046
-1.5666 2.4108 0.0016
-3.0191 4.6460 0.0031

---

Which one sits at the top of the stability order? version B does.

---

Version A
PBE ThReOs, relaxed; calculated volume = 19.6 Å³/atom; symmetry = Imma; total magnetic moment = 0.0 Bohr magnetons per cell
1.0
4.6998 0.0448 -2.8875
-2.9756 4.6445 -0.0513
-0.2279 -0.0448 5.5113
Os Th Re
2 2 2
Cartesian
2.2360 0.0000 1.3119
-1.6018 2.2999 2.7300
0.8946 4.0893 -1.5247
0.6018 0.5552 4.0972
-1.4878 2.3223 -0.0256
0.7482 2.3223 1.2862

---

Version B
PBE ThReOs, relaxed; calculated volume = 19.6 Å³/atom; symmetry = Cmcm; total magnetic moment = 0.0 Bohr magnetons per cell
1.0
-0.2174 -3.1371 -0.5138
4.1282 0.0088 -1.8009
3.3383 0.1333 7.6533
Re Os Th
2 2 2
Cartesian
4.5652 -2.2631 2.0056
2.6840 -0.7319 3.3330
5.4926 -1.0583 4.1376
1.7565 -1.9366 1.2011
3.5446 -0.1926 -0.3237
3.7046 -2.8023 5.6624

---

Which one sits at the top of the stability order? version A does.

---

Version A
PBE TiRe3Os, relaxed; calculated volume = 20.5 Å³/atom; symmetry = Pm-3m; total magnetic moment = 0.0 Bohr magnetons per cell
1.0
-3.4719 -3.1100 -0.4124
2.9367 -3.4381 1.2047
-1.1037 0.6350 4.5028
Re Os Ti
3 1 1
Cartesian
-1.7359 -1.5550 -0.2062
-0.5518 0.3175 2.2514
1.4683 -1.7191 0.6023
0.0000 0.0000 0.0000
-0.8194 -2.9566 2.6475

---

Version B
PBE TiRe3Os, relaxed; calculated volume = 17.5 Å³/atom; symmetry = Pm-3m; total magnetic moment = 0.0 Bohr magnetons per cell
1.0
4.4387 0.0000 0.0000
0.0000 4.4387 0.0000
0.0000 0.0000 4.4387
Ti Re Os
1 3 1
Cartesian
0.0000 0.0000 0.0000
0.0000 0.0000 2.2193
0.0000 2.2193 0.0000
2.2193 0.0000 0.0000
2.2193 2.2193 2.2193

---

Which one sits at the top of the stability order? version A does.